1.
The following is a PBE-GGA calculation of a relaxed structure of CsPrNiCl6, from Alexandria via LeMat-Bulk.

Properties
Magnetization = 2.07 Bohr magnetons per cell
Formation energy from raw total energies = -1.640 eV per atom
Crystal system = trigonal

Cell: 6.8283 6.8283 7.7604 Å, 90.00 90.00 120.00°
Space group P312 (No. 149)
One atom of each set of equivalent atoms:
Cs: 0.0000 0.0000 0.0000 x1
Pr: 0.3333 0.6667 0.5000 x1
Ni: 0.6667 0.3333 0.5000 x1
Cl: 0.3905 0.0368 0.6882 x6


2.
The following is a PBE-GGA calculation of a relaxed structure of CsNi2PtCl8, from Alexandria via LeMat-Bulk.

Properties
Magnetization = 9.00 Bohr magnetons per cell
Formation energy from raw total energies = -0.697 eV per atom
Crystal system = trigonal

Cell: 6.3020 6.3020 29.7134 Å, 90.00 90.00 120.00°
Space group R-3 (No. 148, hexagonal axes)
One atom of each set of equivalent atoms:
Cs: 0.0000 0.0000 0.0000 x3
Ni: 0.0000 0.0000 0.2335 x6
Pt: 0.0000 0.0000 0.5000 x3
Cl: 0.0000 0.0000 0.3071 x6
Cl: 0.0032 0.6918 0.4522 x18


3.
The following is a PBE-GGA calculation of a relaxed structure of CsNiPtCl6, from Alexandria via LeMat-Bulk.

Properties
Magnetization = 6.02 Bohr magnetons per cell
Formation energy from raw total energies = -0.795 eV per atom
Crystal system = monoclinic

Cell: 6.4818 10.7849 7.9039 Å, 90.00 91.67 90.00°
Space group C2 (No. 5)
One atom of each set of equivalent atoms:
Cs: 0.0000 0.0000 0.0000 x2
Ni: 0.0000 0.6640 0.5000 x2
Pt: 0.0000 0.3279 0.5000 x2
Cl: 0.1331 0.4905 0.6675 x4
Cl: 0.1663 0.8031 0.6863 x4
Cl: 0.1793 0.1764 0.6610 x4


4.
The following is a PBE-GGA calculation of a relaxed structure of CsPuNi2Cl8, from Alexandria via LeMat-Bulk.

Properties
Magnetization = 3.00 Bohr magnetons per cell
Formation energy from raw total energies = -1.208 eV per atom
Crystal system = trigonal

Cell: 6.5186 6.5186 30.0154 Å, 90.00 90.00 120.00°
Space group R-3 (No. 148, hexagonal axes)
One atom of each set of equivalent atoms:
Cs: 0.0000 0.0000 0.0000 x3
Pu: 0.0000 0.0000 0.5000 x3
Ni: 0.0000 0.0000 0.2439 x6
Cl: 0.0000 0.0000 0.3164 x6
Cl: 0.9995 0.3403 0.1138 x18


5.
The following is a PBE-GGA calculation of a relaxed structure of CsRb2NiCl6, from Alexandria via LeMat-Bulk.

Properties
Magnetization = 2.00 Bohr magnetons per cell
Energy above the most stable polymorph in this dataset = 33.4 meV/atom
Formation energy from raw total energies = -1.310 eV per atom
Crystal system = tetragonal

Cell: 7.7784 7.7784 11.0169 Å, 90.00 90.00 90.00°
Space group I4/mmm (No. 139)
One atom of each set of equivalent atoms:
Cs: 0.0000 0.0000 0.0000 x2
Rb: 0.0000 0.5000 0.2500 x4
Ni: 0.0000 0.0000 0.5000 x2
Cl: 0.0000 0.0000 0.2895 x4
Cl: 0.2101 0.2101 0.5000 x8


6.
The following is a PBE-GGA calculation of a relaxed structure of Cs3RbNi2Cl9, from Alexandria via LeMat-Bulk.

Properties
Magnetization = 3.02 Bohr magnetons per cell
Formation energy from raw total energies = -1.266 eV per atom
Crystal system = trigonal

Cell: 7.2709 7.2709 9.8736 Å, 90.00 90.00 120.00°
Space group P-3m1 (No. 164)
One atom of each set of equivalent atoms:
Cs: 0.0000 0.0000 0.0000 x1
Cs: 0.3333 0.6667 0.7103 x2
Rb: 0.0000 0.0000 0.5000 x1
Ni: 0.3333 0.6667 0.1489 x2
Cl: 0.0000 0.5000 0.0000 x3
Cl: 0.1827 0.3655 0.2789 x6


Look up the formation energy from raw total energies of the fourth one. -1.208 eV per atom